{
  "formula": "Cd2SbI8",
  "functional": "PBE",
  "state": "relaxed",
  "lattice_angstrom": [[6.1861, -6.3568, 0.0000], [6.1861, 6.3568, 0.0000], [-1.6793, 0.0000, 7.2136]],
  "species": ["Cd", "Cd", "Sb", "I", "I", "I", "I", "I", "I", "I", "I"],
  "fractional_positions": [[0.2142, 0.2142, 0.1759], [0.7858, 0.7858, 0.8241], [0.0000, 0.0000, 0.5000], [0.0703, 0.7298, 0.7037], [0.2198, 0.2198, 0.7930], [0.2702, 0.9297, 0.2963], [0.4483, 0.4483, 0.2760], [0.5517, 0.5517, 0.7240], [0.7298, 0.0703, 0.7037], [0.7802, 0.7802, 0.2070], [0.9297, 0.2702, 0.2963]],
  "rho_g_cm3": 4.0,
  "dos_ef_per_ev_cell": 2.71,
  "e_tot_ev_per_atom": -2.0438
}